{
  "formula": "RbLaSiO4",
  "functional": "PBE-GGA",
  "state": "optimized geometry",
  "mass_density_kg_m3": 4127,
  "crystal_system": "monoclinic",
  "formation_energy_uncorrected_kj_per_mol_atoms": -278,
  "n_ef_per_ev_atom": 0.000,
  "total_energy_ev_per_atom": -7.327,
  "lattice_angstrom": [[5.925, 0.000, 0.000], [0.000, 5.775, 0.000], [-2.034, 0.000, 7.442]],
  "species": ["Rb", "Rb", "La", "La", "Si", "Si", "O", "O", "O", "O", "O", "O", "O", "O"],
  "fractional_positions": [[0.200, 0.250, 0.427], [0.800, 0.750, 0.573], [0.270, 0.250, 0.949], [0.730, 0.750, 0.051], [0.262, 0.750, 0.165], [0.738, 0.250, 0.835], [0.086, 0.750, 0.298], [0.092, 0.750, 0.956], [0.441, 0.525, 0.186], [0.441, 0.975, 0.186], [0.559, 0.025, 0.814], [0.559, 0.475, 0.814], [0.908, 0.250, 0.044], [0.914, 0.250, 0.702]]
}

***

{
  "formula": "Rb2LaSmO4",
  "functional": "PBE-GGA",
  "state": "optimized geometry",
  "mass_density_kg_m3": 5618,
  "crystal_system": "monoclinic",
  "formation_energy_uncorrected_kj_per_mol_atoms": -252,
  "n_ef_per_ev_atom": 0.000,
  "total_energy_ev_per_atom": -6.535,
  "lattice_angstrom": [[6.378, 0.000, 0.000], [0.000, 3.682, 0.000], [-2.127, 0.000, 6.598]],
  "species": ["Rb", "Rb", "La", "Sm", "O", "O", "O", "O"],
  "fractional_positions": [[0.000, 0.000, 0.000], [0.500, 0.500, 0.000], [0.000, 0.500, 0.500], [0.500, 0.000, 0.500], [0.233, 0.000, 0.680], [0.279, 0.500, 0.320], [0.721, 0.500, 0.680], [0.767, 0.000, 0.320]]
}

***

{
  "formula": "Rb3La3SnO8",
  "functional": "PBE-GGA",
  "state": "optimized geometry",
  "mass_density_kg_m3": 5025,
  "crystal_system": "trigonal",
  "formation_energy_uncorrected_kj_per_mol_atoms": -233,
  "n_ef_per_ev_atom": 0.000,
  "total_energy_ev_per_atom": -6.508,
  "lattice_angstrom": [[3.633, 2.097, 6.648], [-3.633, 2.097, 6.648], [0.000, -4.195, 6.648]],
  "species": ["Rb", "Rb", "Rb", "La", "La", "La", "Sn", "O", "O", "O", "O", "O", "O", "O", "O"],
  "fractional_positions": [[0.000, 0.500, 0.500], [0.500, 0.000, 0.500], [0.500, 0.500, 0.000], [0.000, 0.000, 0.500], [0.000, 0.500, 0.000], [0.500, 0.000, 0.000], [0.500, 0.500, 0.500], [0.225, 0.225, 0.225], [0.259, 0.705, 0.705], [0.295, 0.295, 0.741], [0.295, 0.741, 0.295], [0.705, 0.259, 0.705], [0.705, 0.705, 0.259], [0.741, 0.295, 0.295], [0.775, 0.775, 0.775]]
}

***

{
  "formula": "Rb3La3TaO8",
  "functional": "PBE-GGA",
  "state": "optimized geometry",
  "mass_density_kg_m3": 5379,
  "crystal_system": "trigonal",
  "formation_energy_uncorrected_kj_per_mol_atoms": -254,
  "n_ef_per_ev_atom": 0.220,
  "total_energy_ev_per_atom": -7.249,
  "lattice_angstrom": [[3.606, 2.082, 6.731], [-3.606, 2.082, 6.731], [0.000, -4.164, 6.731]],
  "species": ["Rb", "Rb", "Rb", "La", "La", "La", "Ta", "O", "O", "O", "O", "O", "O", "O", "O"],
  "fractional_positions": [[0.000, 0.500, 0.500], [0.500, 0.000, 0.500], [0.500, 0.500, 0.000], [0.000, 0.000, 0.500], [0.000, 0.500, 0.000], [0.500, 0.000, 0.000], [0.500, 0.500, 0.500], [0.227, 0.227, 0.227], [0.276, 0.692, 0.692], [0.308, 0.308, 0.724], [0.308, 0.724, 0.308], [0.692, 0.276, 0.692], [0.692, 0.692, 0.276], [0.724, 0.308, 0.308], [0.773, 0.773, 0.773]]
}

***

{
  "formula": "Rb4LaTa3O12",
  "functional": "PBE-GGA",
  "state": "optimized geometry",
  "mass_density_kg_m3": 6588,
  "crystal_system": "cubic",
  "formation_energy_uncorrected_kj_per_mol_atoms": -230,
  "n_ef_per_ev_atom": 0.561,
  "total_energy_ev_per_atom": -7.572,
  "lattice_angstrom": [[-4.247, 4.247, 4.247], [4.247, -4.247, 4.247], [4.247, 4.247, -4.247]],
  "species": ["Rb", "Rb", "Rb", "Rb", "La", "Ta", "Ta", "Ta", "O", "O", "O", "O", "O", "O", "O", "O", "O", "O", "O", "O"],
  "fractional_positions": [[0.000, 0.000, 0.500], [0.000, 0.500, 0.000], [0.500, 0.000, 0.000], [0.500, 0.500, 0.500], [0.000, 0.000, 0.000], [0.000, 0.500, 0.500], [0.500, 0.000, 0.500], [0.500, 0.500, 0.000], [0.000, 0.275, 0.275], [0.000, 0.725, 0.725], [0.250, 0.500, 0.750], [0.250, 0.750, 0.500], [0.275, 0.000, 0.275], [0.275, 0.275, 0.000], [0.500, 0.250, 0.750], [0.500, 0.750, 0.250], [0.725, 0.000, 0.725], [0.725, 0.725, 0.000], [0.750, 0.250, 0.500], [0.750, 0.500, 0.250]]
}

***

{
  "formula": "Rb2LaTbO4",
  "functional": "PBE-GGA",
  "state": "optimized geometry",
  "mass_density_kg_m3": 5846,
  "crystal_system": "monoclinic",
  "formation_energy_uncorrected_kj_per_mol_atoms": -255,
  "n_ef_per_ev_atom": 0.000,
  "total_energy_ev_per_atom": -6.554,
  "lattice_angstrom": [[6.310, 0.000, 0.000], [0.000, 3.642, 0.000], [-2.103, 0.000, 6.585]],
  "species": ["Rb", "Rb", "La", "Tb", "O", "O", "O", "O"],
  "fractional_positions": [[0.000, 0.000, 0.000], [0.500, 0.500, 0.000], [0.000, 0.500, 0.500], [0.500, 0.000, 0.500], [0.238, 0.000, 0.679], [0.284, 0.500, 0.322], [0.716, 0.500, 0.678], [0.762, 0.000, 0.321]]
}

***

{
  "formula": "Rb2LaTcO6",
  "functional": "PBE-GGA",
  "state": "optimized geometry",
  "mass_density_kg_m3": 3779,
  "crystal_system": "trigonal",
  "formation_energy_uncorrected_kj_per_mol_atoms": -182,
  "total_energy_ev_per_atom": -6.583,
  "lattice_angstrom": [[6.484, 0.000, 0.000], [-3.242, 5.615, 0.000], [0.000, 0.000, 6.081]],
  "species": ["Rb", "Rb", "La", "Tc", "O", "O", "O", "O", "O", "O"],
  "fractional_positions": [[0.333, 0.667, 0.099], [0.667, 0.333, 0.901], [0.000, 0.000, 0.500], [0.000, 0.000, 0.000], [0.135, 0.270, 0.807], [0.135, 0.865, 0.807], [0.270, 0.135, 0.193], [0.730, 0.865, 0.807], [0.865, 0.135, 0.193], [0.865, 0.730, 0.193]]
}

***

{
  "formula": "Rb3La3TcO8",
  "functional": "PBE-GGA",
  "state": "optimized geometry",
  "mass_density_kg_m3": 5043,
  "crystal_system": "trigonal",
  "formation_energy_uncorrected_kj_per_mol_atoms": -227,
  "total_energy_ev_per_atom": -6.865,
  "lattice_angstrom": [[3.597, 2.077, 6.605], [-3.597, 2.077, 6.605], [0.000, -4.154, 6.605]],
  "species": ["Rb", "Rb", "Rb", "La", "La", "La", "Tc", "O", "O", "O", "O", "O", "O", "O", "O"],
  "fractional_positions": [[0.000, 0.500, 0.500], [0.500, 0.000, 0.500], [0.500, 0.500, 0.000], [0.000, 0.000, 0.500], [0.000, 0.500, 0.000], [0.500, 0.000, 0.000], [0.500, 0.500, 0.500], [0.227, 0.227, 0.227], [0.262, 0.701, 0.701], [0.299, 0.299, 0.738], [0.299, 0.738, 0.299], [0.701, 0.262, 0.701], [0.701, 0.701, 0.262], [0.738, 0.299, 0.299], [0.773, 0.773, 0.773]]
}

***

{
  "formula": "RbLa2TcO8",
  "functional": "PBE-GGA",
  "state": "optimized geometry",
  "mass_density_kg_m3": 5404,
  "crystal_system": "triclinic",
  "formation_energy_uncorrected_kj_per_mol_atoms": -205,
  "total_energy_ev_per_atom": -7.193,
  "lattice_angstrom": [[4.515, 0.000, 0.000], [0.133, 5.321, 0.000], [2.110, 0.004, 7.537]],
  "species": ["Rb", "La", "La", "Tc", "O", "O", "O", "O", "O", "O", "O", "O"],
  "fractional_positions": [[0.000, 0.000, 0.000], [0.380, 0.506, 0.305], [0.620, 0.494, 0.695], [0.000, 0.000, 0.500], [0.166, 0.287, 0.595], [0.207, 0.764, 0.610], [0.330, 0.993, 0.293], [0.331, 0.498, 0.005], [0.669, 0.502, 0.995], [0.670, 0.007, 0.707], [0.793, 0.236, 0.390], [0.834, 0.713, 0.405]]
}

***

{
  "formula": "Rb2LaTeO6",
  "functional": "PBE-GGA",
  "state": "optimized geometry",
  "mass_density_kg_m3": 5331,
  "crystal_system": "cubic",
  "formation_energy_uncorrected_kj_per_mol_atoms": -177,
  "n_ef_per_ev_atom": 0.632,
  "total_energy_ev_per_atom": -5.810,
  "lattice_angstrom": [[0.000, 4.364, 4.364], [4.364, 0.000, 4.364], [4.364, 4.364, 0.000]],
  "species": ["Rb", "Rb", "La", "Te", "O", "O", "O", "O", "O", "O"],
  "fractional_positions": [[0.250, 0.250, 0.250], [0.750, 0.750, 0.750], [0.000, 0.000, 0.000], [0.500, 0.500, 0.500], [0.276, 0.276, 0.724], [0.276, 0.724, 0.276], [0.276, 0.724, 0.724], [0.724, 0.276, 0.276], [0.724, 0.276, 0.724], [0.724, 0.724, 0.276]]
}

***

{
  "formula": "Rb3LaTe2O9",
  "functional": "PBE-GGA",
  "state": "optimized geometry",
  "mass_density_kg_m3": 5670,
  "crystal_system": "trigonal",
  "formation_energy_uncorrected_kj_per_mol_atoms": -157,
  "n_ef_per_ev_atom": 0.373,
  "total_energy_ev_per_atom": -5.544,
  "lattice_angstrom": [[6.008, 0.000, 0.000], [-3.004, 5.203, 0.000], [0.000, 0.000, 7.443]],
  "species": ["Rb", "Rb", "Rb", "La", "Te", "Te", "O", "O", "O", "O", "O", "O", "O", "O", "O"],
  "fractional_positions": [[0.000, 0.000, 0.000], [0.333, 0.667, 0.670], [0.667, 0.333, 0.330], [0.000, 0.000, 0.500], [0.333, 0.667, 0.162], [0.667, 0.333, 0.838], [0.000, 0.500, 0.000], [0.181, 0.361, 0.305], [0.181, 0.819, 0.305], [0.361, 0.181, 0.695], [0.500, 0.000, 0.000], [0.500, 0.500, 0.000], [0.639, 0.819, 0.305], [0.819, 0.181, 0.695], [0.819, 0.639, 0.695]]
}

***

{
  "formula": "Rb2LaTe2O6",
  "functional": "PBE-GGA",
  "state": "optimized geometry",
  "mass_density_kg_m3": 3857,
  "crystal_system": "monoclinic",
  "formation_energy_uncorrected_kj_per_mol_atoms": -166,
  "n_ef_per_ev_atom": 0.251,
  "total_energy_ev_per_atom": -5.618,
  "lattice_angstrom": [[5.439, -3.222, 0.000], [5.439, 3.222, 0.000], [-2.779, 0.000, 8.120]],
  "species": ["Rb", "Rb", "La", "Te", "Te", "O", "O", "O", "O", "O", "O"],
  "fractional_positions": [[0.212, 0.212, 0.169], [0.788, 0.788, 0.831], [0.500, 0.500, 0.000], [0.090, 0.090, 0.720], [0.910, 0.910, 0.280], [0.175, 0.713, 0.159], [0.274, 0.274, 0.837], [0.287, 0.825, 0.841], [0.713, 0.175, 0.159], [0.726, 0.726, 0.163], [0.825, 0.287, 0.841]]
}

***

{
  "formula": "RbLaTe2O8",
  "functional": "PBE-GGA",
  "state": "optimized geometry",
  "mass_density_kg_m3": 3728,
  "crystal_system": "trigonal",
  "formation_energy_uncorrected_kj_per_mol_atoms": -153,
  "n_ef_per_ev_atom": 0.000,
  "total_energy_ev_per_atom": -5.903,
  "lattice_angstrom": [[6.171, 0.000, 0.000], [-3.086, 5.344, 0.000], [0.000, 0.000, 8.207]],
  "species": ["Rb", "La", "Te", "Te", "O", "O", "O", "O", "O", "O", "O", "O"],
  "fractional_positions": [[0.000, 0.000, 0.000], [0.000, 0.000, 0.500], [0.333, 0.667, 0.766], [0.667, 0.333, 0.234], [0.165, 0.344, 0.685], [0.179, 0.835, 0.685], [0.333, 0.667, 0.988], [0.344, 0.179, 0.315], [0.656, 0.821, 0.685], [0.667, 0.333, 0.012], [0.821, 0.165, 0.315], [0.835, 0.656, 0.315]]
}

***

{
  "formula": "RbLaTeO6",
  "functional": "PBE-GGA",
  "state": "optimized geometry",
  "mass_density_kg_m3": 3956,
  "crystal_system": "trigonal",
  "formation_energy_uncorrected_kj_per_mol_atoms": -146,
  "n_ef_per_ev_atom": 0.504,
  "total_energy_ev_per_atom": -5.825,
  "lattice_angstrom": [[6.040, 0.000, 0.000], [-3.020, 5.231, 0.000], [0.000, 0.000, 5.950]],
  "species": ["Rb", "La", "Te", "O", "O", "O", "O", "O", "O"],
  "fractional_positions": [[0.000, 0.000, 0.000], [0.333, 0.667, 0.500], [0.667, 0.333, 0.500], [0.412, 0.058, 0.684], [0.412, 0.354, 0.316], [0.646, 0.058, 0.316], [0.646, 0.588, 0.684], [0.942, 0.354, 0.684], [0.942, 0.588, 0.316]]
}

***

{
  "formula": "Rb2LaTi2O7",
  "functional": "PBE-GGA",
  "state": "optimized geometry",
  "mass_density_kg_m3": 4840,
  "crystal_system": "tetragonal",
  "formation_energy_uncorrected_kj_per_mol_atoms": -257,
  "n_ef_per_ev_atom": 0.559,
  "total_energy_ev_per_atom": -7.445,
  "lattice_angstrom": [[-1.981, 1.981, 11.313], [1.981, -1.981, 11.313], [1.981, 1.981, -11.313]],
  "species": ["Rb", "Rb", "La", "Ti", "Ti", "O", "O", "O", "O", "O", "O", "O"],
  "fractional_positions": [[0.190, 0.190, 0.000], [0.810, 0.810, 0.000], [0.000, 0.000, 0.000], [0.407, 0.407, 0.000], [0.593, 0.593, 0.000], [0.078, 0.578, 0.500], [0.328, 0.328, 0.000], [0.422, 0.922, 0.500], [0.500, 0.500, 0.000], [0.578, 0.078, 0.500], [0.672, 0.672, 0.000], [0.922, 0.422, 0.500]]
}

***

{
  "formula": "RbLaTiO4",
  "functional": "PBE-GGA",
  "state": "optimized geometry",
  "mass_density_kg_m3": 3881,
  "crystal_system": "monoclinic",
  "formation_energy_uncorrected_kj_per_mol_atoms": -282,
  "n_ef_per_ev_atom": 0.000,
  "total_energy_ev_per_atom": -7.723,
  "lattice_angstrom": [[6.221, 0.000, 0.000], [0.000, 6.174, 0.000], [-2.138, 0.000, 7.491]],
  "species": ["Rb", "Rb", "La", "La", "Ti", "Ti", "O", "O", "O", "O", "O", "O", "O", "O"],
  "fractional_positions": [[0.184, 0.250, 0.419], [0.816, 0.750, 0.581], [0.297, 0.250, 0.949], [0.703, 0.750, 0.051], [0.235, 0.750, 0.162], [0.765, 0.250, 0.838], [0.039, 0.750, 0.299], [0.041, 0.750, 0.944], [0.434, 0.522, 0.172], [0.434, 0.978, 0.172], [0.566, 0.022, 0.828], [0.566, 0.478, 0.828], [0.959, 0.250, 0.056], [0.961, 0.250, 0.701]]
}

***

{
  "formula": "RbLa2Ti3O9",
  "functional": "PBE-GGA",
  "state": "optimized geometry",
  "mass_density_kg_m3": 5788,
  "crystal_system": "trigonal",
  "formation_energy_uncorrected_kj_per_mol_atoms": -296,
  "n_ef_per_ev_atom": 0.272,
  "total_energy_ev_per_atom": -8.342,
  "lattice_angstrom": [[5.620, 0.000, 0.000], [-2.810, 4.867, 0.000], [0.000, 0.000, 6.827]],
  "species": ["Rb", "La", "La", "Ti", "Ti", "Ti", "O", "O", "O", "O", "O", "O", "O", "O", "O"],
  "fractional_positions": [[0.000, 0.000, 0.000], [0.333, 0.667, 0.662], [0.667, 0.333, 0.338], [0.000, 0.000, 0.500], [0.333, 0.667, 0.160], [0.667, 0.333, 0.840], [0.000, 0.500, 0.000], [0.173, 0.346, 0.347], [0.173, 0.827, 0.347], [0.346, 0.173, 0.653], [0.500, 0.000, 0.000], [0.500, 0.500, 0.000], [0.654, 0.827, 0.347], [0.827, 0.173, 0.653], [0.827, 0.654, 0.653]]
}

***

{
  "formula": "Rb2LaTlO4",
  "functional": "PBE-GGA",
  "state": "optimized geometry",
  "mass_density_kg_m3": 6267,
  "crystal_system": "monoclinic",
  "formation_energy_uncorrected_kj_per_mol_atoms": -166,
  "total_energy_ev_per_atom": -5.355,
  "lattice_angstrom": [[5.124, -5.440, 0.000], [5.124, 5.440, 0.000], [-5.118, 0.000, 5.497]],
  "species": ["Rb", "Rb", "Rb", "Rb", "La", "La", "Tl", "Tl", "O", "O", "O", "O", "O", "O", "O", "O"],
  "fractional_positions": [[0.000, 0.000, 0.000], [0.000, 0.000, 0.500], [0.000, 0.500, 0.000], [0.500, 0.000, 0.500], [0.000, 0.500, 0.500], [0.500, 0.000, 0.000], [0.500, 0.500, 0.000], [0.500, 0.500, 0.500], [0.251, 0.729, 0.943], [0.271, 0.749, 0.557], [0.282, 0.309, 0.510], [0.309, 0.282, 0.010], [0.691, 0.718, 0.990], [0.718, 0.691, 0.490], [0.729, 0.251, 0.443], [0.749, 0.271, 0.057]]
}

***

{
  "formula": "Rb4La3TlO8",
  "functional": "PBE-GGA",
  "state": "optimized geometry",
  "mass_density_kg_m3": 5786,
  "crystal_system": "monoclinic",
  "formation_energy_uncorrected_kj_per_mol_atoms": -210,
  "total_energy_ev_per_atom": -5.968,
  "lattice_angstrom": [[6.416, -3.695, 0.000], [6.416, 3.695, 0.000], [-4.265, 0.000, 6.603]],
  "species": ["Rb", "Rb", "Rb", "Rb", "La", "La", "La", "Tl", "O", "O", "O", "O", "O", "O", "O", "O"],
  "fractional_positions": [[0.000, 0.000, 0.000], [0.000, 0.500, 0.000], [0.500, 0.000, 0.000], [0.500, 0.500, 0.000], [0.000, 0.000, 0.500], [0.000, 0.500, 0.500], [0.500, 0.000, 0.500], [0.500, 0.500, 0.500], [0.226, 0.226, 0.678], [0.231, 0.728, 0.687], [0.270, 0.270, 0.311], [0.272, 0.769, 0.313], [0.728, 0.231, 0.687], [0.730, 0.730, 0.689], [0.769, 0.272, 0.313], [0.774, 0.774, 0.322]]
}